Record 1
# Li4Ti3Ni3O12

A relaxed Li4Ti3Ni3O12 crystal (GGA-PBEsol, Alexandria via LeMat-Bulk).

Calculated values
Symmetry: C2
Raw formation energy in eV per atom: -2.057
Total magnetization in μB/cell: 0.001

Unit cell a=5.1286 b=5.5910 c=7.5414 alpha=111.76 beta=94.08 gamma=90.00
Last column: nearest neighbours and their distance in Å.
Fractional positions:
Li  0.5005  0.0838  0.9995  4 O 1.94-1.95
Ni  0.6660  0.6583  0.6659  6 O 1.96-2.00
Li  0.0001  0.8224  0.9997  4 O 1.99-2.00
Ni  0.3349  0.9919  0.3331  6 O 1.97-2.00
O  0.2992  0.2505  0.8532  1 Ni 1.91, 1 Li 1.94, 2 Ti 1.97-2.07
Ti  0.5005  0.5969  0.9996  6 O 1.91-2.07
O  0.7991  0.4961  0.8492  1 Ti 1.93, 2 Ni 1.96-2.00, 2 Li 1.97-1.99
O  0.5361  0.3155  0.4773  1 Ti 1.91, 2 Li 1.96-1.97, 2 Ni 1.98-2.00
Ni  0.0003  0.3290  0.9995  6 O 1.91-1.98
Li  0.3303  0.5004  0.3398  4 O 1.96-2.01
O  0.4649  0.8376  0.5216  1 Ti 1.91, 2 Li 1.96-1.97, 2 Ni 1.98-2.00
O  0.3653  0.7461  0.8234  2 Ti 1.91-2.12, 1 Li 1.95, 1 Ni 1.96
Li  0.6714  0.1597  0.6587  4 O 1.96-2.01
O  0.8608  0.9891  0.8208  1 Ti 1.97, 2 Ni 1.98-2.00, 2 Li 2.00-2.01
Ti  0.8450  0.2685  0.3423  5 O 1.87-1.98
O  0.2016  0.6466  0.1497  1 Ti 1.93, 2 Ni 1.96-2.00, 2 Li 1.97-1.99
Ti  0.1562  0.9258  0.6569  5 O 1.87-1.98
O  0.9750  0.5900  0.5142  2 Ti 1.87-1.98, 1 Ni 1.98
O  0.6359  0.9222  0.1755  2 Ti 1.91-2.12, 1 Li 1.95, 1 Ni 1.97
O  0.7015  0.3968  0.1458  1 Ni 1.91, 1 Li 1.94, 2 Ti 1.97-2.07
O  0.0257  0.0753  0.4850  2 Ti 1.87-1.98, 1 Ni 1.98
O  0.1401  0.1680  0.1782  1 Ti 1.97, 2 Ni 1.98-2.00, 2 Li 2.00-2.01



Record 2
# Cs2LiI3

A relaxed Cs2LiI3 crystal (GGA-PBEsol, Alexandria via LeMat-Bulk).

Calculated values
Symmetry: Cmc2_1
Raw formation energy in eV per atom: -1.428
Total magnetization in μB/cell: 0.000

Unit cell a=4.7071 b=8.4921 c=13.0632 alpha=90.00 beta=100.38 gamma=90.00
Last column: nearest neighbours and their distance in Å.
Fractional positions:
Li  0.1508  0.4831  0.3016  4 I 2.75-2.78
Cs  0.4936  0.9864  0.9872  8 I 3.81-3.95, 2 Cs 4.26
I  0.7081  0.4737  0.4162  2 Li 2.78
Cs  0.3244  0.4898  0.6489  7 I 3.81-4.19
I  0.2919  0.9737  0.5838  2 Li 2.78
Cs  0.6756  0.9898  0.3511  7 I 3.81-4.19
I  0.9146  0.7270  0.8292  1 Li 2.75
Cs  0.5064  0.4864  0.0128  8 I 3.81-3.95, 2 Cs 4.26
Li  0.8492  0.9831  0.6984  4 I 2.75-2.78
I  0.0854  0.2270  0.1708  1 Li 2.75
I  0.0874  0.7434  0.1748  1 Li 2.75
I  0.9126  0.2434  0.8252  1 Li 2.75



Record 3
# BeAuS2Cl

A relaxed BeAuS2Cl crystal (GGA-PBEsol, Alexandria via LeMat-Bulk).

Calculated values
Symmetry: P4/mmm
Raw formation energy in eV per atom: 0.312
Total magnetization in μB/cell: 0.001

Unit cell a=4.1104 b=4.4449 c=4.4449 alpha=90.00 beta=90.00 gamma=90.00
Last column: nearest neighbours and their distance in Å.
Fractional positions:
S  0.0000  0.0000  0.5000  2 Be 2.22
S  0.0000  0.5000  0.0000  2 Be 2.22
Cl  0.5000  0.0000  0.0000  2 Be 2.06
Be  0.0000  0.0000  0.0000  2 Cl 2.06, 4 S 2.22
Au  0.5000  0.5000  0.5000  8 S 3.03, 4 Cl 3.14



Record 4
# Cu3Rh5

A relaxed Cu3Rh5 crystal (GGA-PBEsol, Alexandria via LeMat-Bulk).

Calculated values
Symmetry: Cmmm
Total magnetization in μB/cell: 0.005

Unit cell a=3.6880 b=5.2793 c=5.2793 alpha=90.43 beta=90.00 gamma=90.00
Last column: nearest neighbours and their distance in Å.
Fractional positions:
Rh  0.5000  0.7538  0.2462  6 Rh 2.61-2.62, 6 Cu 2.62-2.66
Cu  0.0000  0.5000  0.5000  4 Cu 2.58, 8 Rh 2.64-2.65
Rh  0.5000  0.2462  0.7538  6 Rh 2.61-2.62, 6 Cu 2.62-2.66
Rh  0.0000  0.5000  0.0000  6 Rh 2.62-2.64, 6 Cu 2.63-2.64
Rh  0.0000  0.0000  0.0000  8 Rh 2.61-2.64, 4 Cu 2.66
Rh  0.0000  0.0000  0.5000  6 Rh 2.62-2.64, 6 Cu 2.63-2.64
Cu  0.5000  0.7426  0.7426  2 Cu 2.58, 10 Rh 2.62-2.66
Cu  0.5000  0.2574  0.2574  2 Cu 2.58, 10 Rh 2.62-2.66



Record 5
# Bi3RhBr

A relaxed Bi3RhBr crystal (GGA-PBEsol, Alexandria via LeMat-Bulk).

Calculated values
Symmetry: Pm-3m
Raw formation energy in eV per atom: 0.252
Total magnetization in μB/cell: 0.001

Unit cell a=5.2833 b=5.2833 c=5.2833 alpha=90.00 beta=90.00 gamma=90.00
Last column: nearest neighbours and their distance in Å.
Fractional positions:
Bi  0.0000  0.5000  0.0000  2 Rh 2.64
Rh  0.0000  0.0000  0.0000  6 Bi 2.64
Bi  0.5000  0.0000  0.0000  2 Rh 2.64
Bi  0.0000  0.0000  0.5000  2 Rh 2.64
Br  0.5000  0.5000  0.5000  12 Bi 3.74



Record 6
# MgSc2In

A relaxed MgSc2In crystal (GGA-PBEsol, Alexandria via LeMat-Bulk).

Calculated values
Relative energy among the computed polymorphs in meV per atom: 108
Symmetry: Imm2
Total magnetization in μB/cell: 0.001

Unit cell a=3.4631 b=4.9955 c=5.9790 alpha=114.69 beta=106.83 gamma=90.00
Last column: nearest neighbours and their distance in Å.
Fractional positions:
Sc  0.0018  0.0018  0.0036  4 In 3.04, 2 Sc 3.16, 2 Mg 3.20
In  0.4908  0.4908  0.9816  2 Mg 2.92, 6 Sc 3.04-3.14
Mg  0.7628  0.2628  0.5255  2 In 2.92, 6 Sc 3.04-3.20
Sc  0.2446  0.7446  0.4893  4 Mg 3.04, 2 In 3.14, 2 Sc 3.16



Here are the calculated total DFT energy (no corrections) numbers, same order: -7.253; -2.954; -3.428; -6.591; -4.320; -4.702 (eV per atom).